[1]
FeCuSiS2 after structural relaxation, computed with PBE-GGA.

Lattice parameters (Å, degrees): 4.3539 4.3539 4.5603 90.00 90.00 90.00
Fractional positions:
Fe  0.0000  0.0000  0.0000
Cu  0.0000  0.0000  0.5000
Si  0.5000  0.5000  0.5000
S  0.0000  0.5000  0.0000
S  0.5000  0.0000  0.0000

Properties
Uncorrected energy   -23.212 eV/f.u.
Formation energy without anion corrections   605 meV per atom

---

[2]
LiCu2Ru after structural relaxation, computed with PBE-GGA.

Lattice parameters (Å, degrees): 8.8974 8.8974 8.8974 16.99 16.99 16.99
Fractional positions:
Li  0.0000  0.0000  0.0000
Cu  0.2500  0.2500  0.2500
Cu  0.7500  0.7500  0.7500
Ru  0.5000  0.5000  0.5000

Properties
Uncorrected energy   -18.822 eV/f.u.
Energy above the most stable polymorph in this dataset   0.1032 eV/atom

---

[3]
NaTlCdCu after structural relaxation, computed with PBE-GGA.

Lattice parameters (Å, degrees): 4.9425 4.9425 4.9425 60.00 60.00 60.00
Fractional positions:
Na  0.0000  0.0000  0.0000
Tl  0.7500  0.7500  0.7500
Cd  0.2500  0.2500  0.2500
Cu  0.5000  0.5000  0.5000

Properties
Uncorrected energy   -8.335 eV/f.u.

---

[4]
CuBF5 after structural relaxation, computed with PBE-GGA.

Lattice parameters (Å, degrees): 5.3793 5.3793 6.8746 106.15 106.15 95.36
Fractional positions:
Cu  0.0000  0.0000  0.0000
Cu  0.0000  0.0000  0.5000
B  0.3366  0.6634  0.7500
B  0.6634  0.3366  0.2500
F  0.0943  0.9057  0.2500
F  0.1430  0.6849  0.8606
F  0.2794  0.4118  0.6027
F  0.3151  0.8570  0.6394
F  0.4118  0.2794  0.1027
F  0.5882  0.7206  0.8973
F  0.6849  0.1430  0.3606
F  0.7206  0.5882  0.3973
F  0.8570  0.3151  0.1394
F  0.9057  0.0943  0.7500

Properties
Uncorrected energy   -36.004 eV/f.u.
Formation energy without anion corrections   -2268 meV per atom

---

[5]
FeAsS2 after structural relaxation, computed with PBE-GGA.

Lattice parameters (Å, degrees): 7.5777 7.5777 7.5777 27.19 27.19 27.19
Fractional positions:
Fe  0.0000  0.0000  0.0000
As  0.5000  0.5000  0.5000
S  0.0986  0.0986  0.0986
S  0.9014  0.9014  0.9014

Properties
Uncorrected energy   -20.249 eV/f.u.
Formation energy without anion corrections   280 meV per atom

---

[6]
InReAg2 after structural relaxation, computed with PBE-GGA.

Lattice parameters (Å, degrees): 2.7986 4.4484 5.7336 90.00 90.00 90.00
Fractional positions:
In  0.0000  0.0000  0.0000
Re  0.0000  0.0000  0.5000
Ag  0.5000  0.5000  0.2625
Ag  0.5000  0.5000  0.7375

Properties
Uncorrected energy   -18.502 eV/f.u.

---

[7]
KScOsO6 after structural relaxation, computed with PBE-GGA.

Lattice parameters (Å, degrees): 5.3803 5.3803 5.9103 90.00 90.00 120.00
Fractional positions:
K  0.0000  0.0000  0.0000
Sc  0.6667  0.3333  0.5000
Os  0.3333  0.6667  0.5000
O  0.0319  0.4033  0.3164
O  0.0319  0.6286  0.6836
O  0.3714  0.4033  0.6836
O  0.3714  0.9681  0.3164
O  0.5967  0.6286  0.3164
O  0.5967  0.9681  0.6836

Properties
Uncorrected energy   -64.379 eV/f.u.
Formation energy without anion corrections   -1775 meV per atom

---

[8]
C3Se after structural relaxation, computed with PBE-GGA.

Lattice parameters (Å, degrees): 3.7436 3.7436 2.7939 90.00 90.00 90.00
Fractional positions:
C  0.0000  0.0000  0.0000
C  0.0000  0.5000  0.5000
C  0.5000  0.0000  0.5000
Se  0.5000  0.5000  0.0000

Properties
Uncorrected energy   -16.440 eV/f.u.
Energy above the most stable polymorph in this dataset   2.3563 eV/atom
Formation energy without anion corrections   3679 meV per atom

---

[9]
HgPd6Pb2 after structural relaxation, computed with PBE-GGA.

Lattice parameters (Å, degrees): 8.1790 8.1790 8.1790 157.71 123.48 61.52
Fractional positions:
Hg  0.0000  0.0000  0.0000
Pd  0.0289  0.8333  0.1956
Pd  0.3021  0.5000  0.8021
Pd  0.3624  0.1667  0.1956
Pd  0.6376  0.8333  0.8044
Pd  0.6979  0.5000  0.1979
Pd  0.9711  0.1667  0.8044
Pb  0.3342  0.3342  0.0000
Pb  0.6658  0.6658  0.0000

Properties
Uncorrected energy   -39.731 eV/f.u.

---

[10]
UTl2CdSe4 after structural relaxation, computed with PBE-GGA.

Lattice parameters (Å, degrees): 7.1630 4.1700 8.1941 90.00 108.24 90.00
Fractional positions:
U  0.0000  0.0000  0.0000
Tl  0.0000  0.5000  0.5000
Tl  0.5000  0.0000  0.5000
Cd  0.5000  0.5000  0.0000
Se  0.2220  0.5000  0.2108
Se  0.2635  0.0000  0.8021
Se  0.7365  0.0000  0.1979
Se  0.7780  0.5000  0.7892

Properties
Uncorrected energy   -36.675 eV/f.u.
Formation energy without anion corrections   -725 meV per atom

---

[11]
Zr2Re3 after structural relaxation, computed with PBE-GGA.

Lattice parameters (Å, degrees): 11.2359 11.2359 11.2359 15.50 15.50 15.50
Fractional positions:
Zr  0.1017  0.1017  0.1017
Zr  0.8983  0.8983  0.8983
Re  0.3030  0.3030  0.3030
Re  0.5000  0.5000  0.5000
Re  0.6970  0.6970  0.6970

Properties
Uncorrected energy   -53.331 eV/f.u.
Energy above the most stable polymorph in this dataset   0.2054 eV/atom

---

[12]
TlTeAsN2 after structural relaxation, computed with PBE-GGA.

Lattice parameters (Å, degrees): 4.0633 4.0633 5.7858 90.00 90.00 90.00
Fractional positions:
Tl  0.0000  0.0000  0.0000
Te  0.5000  0.5000  0.0000
As  0.5000  0.5000  0.5000
N  0.0000  0.5000  0.5000
N  0.5000  0.0000  0.5000

Properties
Uncorrected energy   -20.157 eV/f.u.
Energy above the most stable polymorph in this dataset   0.0000 eV/atom
Formation energy without anion corrections   1330 meV per atom

---

[13]
Li6Zn5Cu after structural relaxation, computed with PBE-GGA.

Lattice parameters (Å, degrees): 7.2270 7.2270 3.8682 105.38 105.38 104.08
Fractional positions:
Li  0.0831  0.4139  0.2486
Li  0.2490  0.2490  0.7493
Li  0.4139  0.0831  0.2486
Li  0.5861  0.9169  0.7514
Li  0.7510  0.7510  0.2507
Li  0.9169  0.5861  0.7514
Zn  0.1585  0.8415  0.5000
Zn  0.3305  0.6695  0.0000
Zn  0.5000  0.5000  0.5000
Zn  0.6695  0.3305  0.0000
Zn  0.8415  0.1585  0.5000
Cu  0.0000  0.0000  0.0000

Properties
Uncorrected energy   -23.563 eV/f.u.

---

[14]
Zr4GaC after structural relaxation, computed with PBE-GGA.

Lattice parameters (Å, degrees): 6.2444 6.1550 6.1231 90.00 94.25 90.00
Fractional positions:
Zr  0.1109  0.1583  0.1790
Zr  0.1109  0.3417  0.6790
Zr  0.3245  0.6240  0.0971
Zr  0.3245  0.8760  0.5971
Zr  0.6755  0.1240  0.4029
Zr  0.6755  0.3760  0.9029
Zr  0.8891  0.6583  0.3210
Zr  0.8891  0.8417  0.8210
Ga  0.5000  0.0000  0.0000
Ga  0.5000  0.5000  0.5000
C  0.0000  0.0000  0.5000
C  0.0000  0.5000  0.0000

Properties
Uncorrected energy   -48.196 eV/f.u.

---

[15]
Pu2Mg2Rh3 after structural relaxation, computed with PBE-GGA.

Lattice parameters (Å, degrees): 4.6512 4.6591 7.9457 106.97 90.10 119.86
Fractional positions:
Pu  0.1159  0.2317  0.3466
Pu  0.8841  0.7683  0.6534
Mg  0.3671  0.7340  0.1001
Mg  0.6329  0.2660  0.8999
Rh  0.2461  0.4930  0.7406
Rh  0.5000  0.0000  0.5000
Rh  0.7539  0.5070  0.2594

Properties
Uncorrected energy   -56.726 eV/f.u.

---

no.,calculated density (g/cm3)
1,4.1
2,7.4
3,7.8
4,3.1
5,4.0
6,12.0
7,4.1
8,4.9
9,12.1
10,7.7
11,13.9
12,7.6
13,4.1
14,6.3
15,10.0